VASP calculation (PBE) on a relaxed BaTa crystal.

```
BaTa
1.0
2.598 -6.629 0.000
2.598 6.629 0.000
0.000 0.000 4.423
Ba Ta
2 2
direct
0.140 0.860 0.750
0.860 0.140 0.250
0.455 0.545 0.750
0.545 0.455 0.250
```

distance to the lowest polymorph of the same formula = 544.8 meV/atom
calculated formation energy = 1064 meV/atom
magnetic moment = 0.0 μB/f.u.


VASP calculation (PBE) on a relaxed Mn2Sb crystal.

```
Mn2Sb
1.0
-2.697 2.697 3.849
2.697 -2.697 3.849
2.697 2.697 -3.849
Mn Sb
4 2
direct
0.177 0.677 0.853
0.323 0.177 0.500
0.677 0.823 0.500
0.823 0.323 0.147
0.250 0.250 0.000
0.750 0.750 0.000
```

formation energy from raw total energies = 0.360 eV/atom
magnetic moment = 6.7 μB/f.u.


VASP calculation (PBE) on a relaxed Cd2In2Pb crystal.

```
Cd2In2Pb
1.0
8.662 0.000 0.000
0.000 8.662 0.000
0.000 0.000 3.602
Cd In Pb
4 4 2
direct
0.128 0.372 0.000
0.372 0.872 0.000
0.628 0.128 0.000
0.872 0.628 0.000
0.170 0.670 0.500
0.330 0.170 0.500
0.670 0.830 0.500
0.830 0.330 0.500
0.000 0.000 0.000
0.500 0.500 0.000
```

distance to the lowest polymorph of the same formula = 23.1 meV/atom
calculated formation energy = 54 meV/atom
magnetic moment = 0.0 μB/f.u.


VASP calculation (PBE) on a relaxed SrAlZn2Ir crystal.

```
SrAlZn2Ir
1.0
4.912 0.000 0.000
0.000 4.912 0.000
0.000 0.000 4.718
Sr Al Zn Ir
1 1 2 1
direct
0.000 0.000 0.000
0.500 0.500 0.000
0.000 0.500 0.500
0.500 0.000 0.500
0.500 0.500 0.500
```

calculated formation energy = -375 meV/atom
magnetic moment = 0.0 μB/f.u.